The following is a PBE-GGA calculation of a relaxed PaGePd3 crystal, from the Alexandria database.

Cell: 7.532 6.748 8.731 Å, 90.00 122.14 90.00°
Sites, in units of the cell vectors:
Pa (0.149, 0.246, 0.103)
Pa (0.149, 0.254, 0.603)
Pa (0.851, 0.746, 0.397)
Pa (0.851, 0.754, 0.897)
Ge (0.266, 0.551, 0.910)
Ge (0.266, 0.949, 0.410)
Ge (0.734, 0.051, 0.590)
Ge (0.734, 0.449, 0.090)
Pd (0.125, 0.575, 0.272)
Pd (0.125, 0.925, 0.772)
Pd (0.291, 0.656, 0.635)
Pd (0.291, 0.844, 0.135)
Pd (0.441, 0.194, 0.009)
Pd (0.441, 0.306, 0.509)
Pd (0.559, 0.694, 0.491)
Pd (0.559, 0.806, 0.991)
Pd (0.709, 0.156, 0.865)
Pd (0.709, 0.344, 0.365)
Pd (0.875, 0.075, 0.228)
Pd (0.875, 0.425, 0.728)

Computed properties:
SG: P2_1/c
Calculated formation energy (eV/atom): -0.524
V (Å³/f.u.): 94
Uncorrected energy (eV/atom): -6.4623
Calculated density (g/cm³): 11.01

The following is a PBE-GGA calculation of a relaxed Ta2BeTePb crystal, from the Alexandria database.

Cell: 5.310 5.310 4.391 Å, 90.00 90.00 90.00°
Sites, in units of the cell vectors:
Ta (0.000, 0.500, 0.000)
Ta (0.500, 0.000, 0.000)
Be (0.000, 0.000, 0.500)
Te (0.000, 0.000, 0.000)
Pb (0.500, 0.500, 0.500)

Computed properties:
SG: P4/mmm
Uncorrected formation energy (kcal/mol of atoms): 34.97
Offset from the most stable computed form (eV/atom): 0.000
V (Å³/f.u.): 124
Uncorrected energy (eV/atom): -5.3399
Calculated density (g/cm³): 9.46

Which value of uncorrected energy does entry 2 give? -5.3399 eV/atom

calculated density of number 2 (Ta2BeTePb)? 9.46 g/cm³

Among the records above, which one has the highest uncorrected energy? Ta2BeTePb

Copy entry 1 word for word.
The following is a PBE-GGA calculation of a relaxed PaGePd3 crystal, from the Alexandria database.

Cell: 7.532 6.748 8.731 Å, 90.00 122.14 90.00°
Sites, in units of the cell vectors:
Pa (0.149, 0.246, 0.103)
Pa (0.149, 0.254, 0.603)
Pa (0.851, 0.746, 0.397)
Pa (0.851, 0.754, 0.897)
Ge (0.266, 0.551, 0.910)
Ge (0.266, 0.949, 0.410)
Ge (0.734, 0.051, 0.590)
Ge (0.734, 0.449, 0.090)
Pd (0.125, 0.575, 0.272)
Pd (0.125, 0.925, 0.772)
Pd (0.291, 0.656, 0.635)
Pd (0.291, 0.844, 0.135)
Pd (0.441, 0.194, 0.009)
Pd (0.441, 0.306, 0.509)
Pd (0.559, 0.694, 0.491)
Pd (0.559, 0.806, 0.991)
Pd (0.709, 0.156, 0.865)
Pd (0.709, 0.344, 0.365)
Pd (0.875, 0.075, 0.228)
Pd (0.875, 0.425, 0.728)

Computed properties:
SG: P2_1/c
Calculated formation energy (eV/atom): -0.524
V (Å³/f.u.): 94
Uncorrected energy (eV/atom): -6.4623
Calculated density (g/cm³): 11.01